{
  "formula": "InAs2RuBr",
  "functional": "PBE-GGA",
  "state": "optimized geometry",
  "lattice": [[-2.163, 4.633, 1.030], [-1.038, 0.507, -4.462], [-4.599, -2.326, 0.805]],
  "species": ["Br", "As", "As", "Ru", "In"],
  "frac_coords": [[0.000, 0.000, 0.000], [0.500, 0.000, 0.000], [0.000, 0.000, 0.500], [0.000, 0.500, 0.000], [0.500, 0.500, 0.500]],
  "raw_formation_energy_ev_per_fu": 6.194,
  "space_group": "No. 123",
  "e_above_lowest_polymorph_ev_per_atom": 1.0401
}



{
  "formula": "PrSi3Rh5",
  "functional": "PBE-GGA",
  "state": "optimized geometry",
  "lattice": [[3.952, 0.000, 0.000], [-1.976, 6.174, 0.000], [0.000, 0.000, 12.231]],
  "species": ["Rh", "Rh", "Rh", "Rh", "Rh", "Rh", "Rh", "Rh", "Rh", "Rh", "Si", "Si", "Si", "Si", "Si", "Si", "Pr", "Pr"],
  "frac_coords": [[0.551, 0.103, 0.856], [0.202, 0.404, 0.573], [0.202, 0.404, 0.927], [0.798, 0.596, 0.427], [0.551, 0.103, 0.644], [0.000, 0.000, 0.000], [0.449, 0.897, 0.144], [0.000, 0.000, 0.500], [0.798, 0.596, 0.073], [0.449, 0.897, 0.356], [0.111, 0.221, 0.750], [0.384, 0.768, 0.539], [0.889, 0.779, 0.250], [0.616, 0.232, 0.461], [0.384, 0.768, 0.961], [0.616, 0.232, 0.039], [0.837, 0.675, 0.750], [0.163, 0.325, 0.250]],
  "raw_formation_energy_ev_per_fu": -7.274,
  "space_group": "No. 63"
}



{
  "formula": "Pm2Sm7Ho",
  "functional": "PBE-GGA",
  "state": "optimized geometry",
  "lattice": [[-1.772, 0.069, 3.010], [-0.279, -14.989, 0.179], [5.854, 13.441, 3.139]],
  "species": ["Sm", "Sm", "Sm", "Sm", "Sm", "Sm", "Sm", "Ho", "Pm", "Pm"],
  "frac_coords": [[0.500, 0.657, 0.853], [0.500, 0.853, 0.657], [0.000, 0.188, 0.812], [0.000, 0.812, 0.188], [0.500, 0.500, 0.500], [0.500, 0.147, 0.343], [0.500, 0.343, 0.147], [0.000, 0.000, 0.000], [0.500, 0.295, 0.705], [0.500, 0.705, 0.295]],
  "ef_mev_per_atom": 155.4,
  "space_group": "No. 65"
}



{
  "formula": "Pr2NdInH",
  "functional": "PBE-GGA",
  "state": "optimized geometry",
  "lattice": [[-4.589, 1.934, -0.912], [-1.717, -2.068, 4.257], [1.254, 4.167, 2.531]],
  "species": ["Nd", "H", "In", "Pr", "Pr"],
  "frac_coords": [[0.500, 0.000, 0.000], [0.000, 0.000, 0.000], [0.500, 0.500, 0.500], [0.000, 0.000, 0.500], [0.000, 0.500, 0.000]],
  "e_tot_ev_per_atom": -4.4395,
  "space_group": "No. 123"
}



{
  "formula": "NaSnB",
  "functional": "PBE-GGA",
  "state": "optimized geometry",
  "lattice": [[-3.957, 0.318, 0.203], [1.889, -2.730, 2.185], [0.823, 5.950, 6.723]],
  "species": ["Na", "Na", "B", "B", "Sn", "Sn"],
  "frac_coords": [[0.667, 0.333, 0.500], [0.667, 0.333, 0.000], [0.333, 0.667, 0.907], [0.333, 0.667, 0.093], [0.000, 0.000, 0.777], [0.000, 0.000, 0.223]],
  "ef_mev_per_atom": 412.2,
  "space_group": "No. 187"
}



{
  "formula": "AlRh2Br",
  "functional": "PBE-GGA",
  "state": "optimized geometry",
  "lattice": [[4.532, 0.000, 0.000], [2.266, 3.925, 0.000], [2.266, 1.308, 3.700]],
  "species": ["Al", "Rh", "Rh", "Br"],
  "frac_coords": [[0.500, 0.500, 0.500], [0.000, 0.000, 0.000], [0.750, 0.750, 0.750], [0.250, 0.250, 0.250]],
  "raw_formation_energy_ev_per_fu": 1.523,
  "space_group": "No. 216",
  "e_above_lowest_polymorph_ev_per_atom": 0.6975
}



| no. | magnetic moment (μB/atom) | Fermi-level density of states (states/eV per cell) |
| --- | --- | --- |
| 1 | 0.01 | 7.0 |
| 2 | 0.00 | 11.8 |
| 3 | 0.00 | 15.8 |
| 4 | 0.22 | 7.7 |
| 5 | 0.00 | 3.5 |
| 6 | 0.30 | 5.4 |